Record 1
Entry from Alexandria via LeMat-Bulk: a relaxed BaVCoSe2 crystal (PBE).

Results
E_form (uncorrected) (meV/atom): 351

Structure (CIF):
```
data_BaVCoSe2
_space_group_name_H-M_alt 'P 4/m m m'
_space_group_IT_number 123
_space_group_name_Hall '-P 4 2'
_cell_length_a 4.806
_cell_length_b 4.806
_cell_length_c 6.625
_cell_angle_alpha 90.00
_cell_angle_beta 90.00
_cell_angle_gamma 90.00
loop_
_atom_site_label
_atom_site_fract_x
_atom_site_fract_y
_atom_site_fract_z
_atom_site_occupancy
Ba1 0.000 0.000 0.000 1
V1 0.000 0.000 0.500 1
Co1 0.500 0.500 0.000 1
Se1 0.000 0.500 0.500 1
```

---

Record 2
Entry from Alexandria via LeMat-Bulk: a relaxed TbYSc crystal (PBE).

Results
Calculated formation energy (eV per formula unit): 0.16
Distance to the lowest polymorph of the same formula (meV per atom): 4

Structure (CIF):
```
data_TbYSc
_space_group_name_H-M_alt 'P -1'
_space_group_IT_number 2
_cell_length_a 3.481
_cell_length_b 6.012
_cell_length_c 9.127
_cell_angle_alpha 76.81
_cell_angle_beta 79.06
_cell_angle_gamma 73.20
loop_
_space_group_symop_operation_xyz
'x,y,z'
'-x,-y,-z'
loop_
_atom_site_label
_atom_site_fract_x
_atom_site_fract_y
_atom_site_fract_z
_atom_site_occupancy
Tb1 0.000 0.236 0.262 1
Y1 0.332 0.745 0.090 1
Sc1 0.329 0.262 0.579 1
```

---

Record 3
Entry from Alexandria via LeMat-Bulk: a relaxed Cr2NiAg crystal (PBE).

Results
Calculated formation energy (eV per formula unit): 1.61
Distance to the lowest polymorph of the same formula (meV per atom): 120

Structure (CIF):
```
data_Cr2NiAg
_space_group_name_H-M_alt 'C 1 m 1'
_space_group_IT_number 8
_cell_length_a 9.286
_cell_length_b 3.176
_cell_length_c 4.301
_cell_angle_alpha 90.00
_cell_angle_beta 117.19
_cell_angle_gamma 90.00
loop_
_space_group_symop_operation_xyz
'x,y,z'
'x,-y,z'
'x+1/2,y+1/2,z'
'x+1/2,-y+1/2,z'
loop_
_atom_site_label
_atom_site_fract_x
_atom_site_fract_y
_atom_site_fract_z
_atom_site_occupancy
Cr1 0.000 0.000 0.000 1
Cr2 0.230 0.500 0.227 1
Ni1 0.466 0.000 0.466 1
Ag1 0.229 0.000 0.727 1
```

---

| no. | D(E_F) (states/eV/f.u.) |
| --- | --- |
| 1 | 4.31 |
| 2 | 4.66 |
| 3 | 3.92 |